No. 1
Below is ThCr2B6 after structural relaxation, with properties calculated at the PBE level.

Density ... 7.79 g/cm³
Total DFT energy (no corrections) ... -8.014 eV/atom
Size of the total moment ... 0.000 μB/atom
Energy of formation from the pure elements ... -0.60 eV per atom

abc: 5.536 5.536 5.536
angles: 147.26 107.38 81.96
Positions (direct):
B 0.359 0.500 0.859
B 0.933 0.697 0.236
B 0.540 0.303 0.236
Th 0.000 0.000 0.000
B 0.067 0.303 0.764
Cr 0.654 0.154 0.500
B 0.460 0.697 0.764
Cr 0.346 0.846 0.500
B 0.641 0.500 0.141

***

No. 2
Below is TbSmNb after structural relaxation, with properties calculated at the PBE level.

Density ... 7.95 g/cm³
Total DFT energy (no corrections) ... -6.262 eV/atom
Size of the total moment ... 0.001 μB/atom
Energy of formation from the pure elements ... 0.21 eV per atom

abc: 3.496 3.468 13.977
angles: 82.87 90.00 90.00
Positions (direct):
Nb 0.250 0.273 0.453
Sm 0.750 0.850 0.301
Nb 0.750 0.727 0.547
Sm 0.250 0.150 0.699
Tb 0.750 0.554 0.892
Tb 0.250 0.446 0.108

***

total DFT energy (no corrections) of number 2 (TbSmNb)? -6.262 eV/atom

***

What is the energy of formation from the pure elements in the first record? -0.60 eV per atom